GGA-PBE LiBiBr2, relaxed; polymorph energy (0 for the lowest one) = 400 meV per atom; raw formation energy = -0.36 eV/atom; density = 5.75 Mg/m³; size of the total moment = 0.0 μB/f.u.; electronic total energy = -2.643 eV/atom
1.0
7.570 0.000 0.000
0.000 7.570 0.000
0.000 0.000 7.570
Li Bi Br
4 4 8
Direct
0.000 0.000 0.000 Li
0.000 0.500 0.500 Li
0.500 0.000 0.500 Li
0.500 0.500 0.000 Li
0.000 0.000 0.500 Bi
0.000 0.500 0.000 Bi
0.500 0.000 0.000 Bi
0.500 0.500 0.500 Bi
0.250 0.250 0.250 Br
0.250 0.250 0.750 Br
0.250 0.750 0.250 Br
0.250 0.750 0.750 Br
0.750 0.250 0.250 Br
0.750 0.250 0.750 Br
0.750 0.750 0.250 Br
0.750 0.750 0.750 Br

=====

GGA-PBE Ce5SmSn3, relaxed; energy relative to the elements = -4.34 eV/f.u.; density = 7.71 Mg/m³; size of the total moment = 7.9 μB/f.u.; electronic total energy = -5.637 eV/atom
1.0
9.503 0.000 0.000
-4.752 8.230 0.000
0.000 0.000 6.649
Ce Sm Sn
10 2 6
Direct
0.000 0.339 0.250 Ce
0.000 0.661 0.750 Ce
0.333 0.667 0.000 Ce
0.333 0.667 0.500 Ce
0.339 0.000 0.250 Ce
0.339 0.339 0.750 Ce
0.661 0.000 0.750 Ce
0.661 0.661 0.250 Ce
0.667 0.333 0.000 Ce
0.667 0.333 0.500 Ce
0.000 0.000 0.000 Sm
0.000 0.000 0.500 Sm
0.000 0.328 0.750 Sn
0.000 0.672 0.250 Sn
0.328 0.000 0.750 Sn
0.328 0.328 0.250 Sn
0.672 0.000 0.250 Sn
0.672 0.672 0.750 Sn